Entry from the Alexandria database: crystalline K2BaV2O7 at its relaxed geometry (PBE with a Hubbard U).

Properties
- Total magnetic moment: 0.000 μB/cell
- DFT total energy: -6.65 eV/atom

abc: 6.1449 6.1449 24.2047
angles: 90.00 90.00 120.00
Space group R32 (No. 155, hexagonal axes)
Unique sites:
K 0.0000 0.0000 0.2236 [6 per cell]
Ba 0.0000 0.0000 0.0000 [3 per cell]
V 0.0000 0.0000 0.4246 [6 per cell]
O 0.0000 0.0000 0.5000 [3 per cell]
O 0.0430 0.2856 0.5968 [18 per cell]